No. 1
Density functional theory data (PBE) for a geometry-optimized TaCuTcPt structure.

a b c (Å): 6.238 6.238 6.238
angles (deg): 90.00 90.00 90.00
Space group F-43m (No. 216)
One atom of each set of equivalent atoms:
Ta 0.000 0.000 0.000
Cu 0.000 0.000 0.500
Tc 0.250 0.250 0.250
Pt 0.250 0.250 0.750

Output
density = 14.71 g/cm3
energy relative to the elements = -0.196 eV/atom
DOS(E_F) = 5.81 states/eV/f.u.

No. 2
Density functional theory data (PBE) for a geometry-optimized DyGe4Pt12 structure.

a b c (Å): 8.567 8.567 8.567
angles (deg): 90.00 90.00 90.00
Space group Im-3 (No. 204)
One atom of each set of equivalent atoms:
Dy 0.000 0.000 0.000
Ge 0.250 0.250 0.250
Pt 0.000 0.344 0.156

Output
density = 14.76 g/cm3
energy relative to the elements = -0.217 eV/atom
DOS(E_F) = 4.36 states/eV/f.u.

No. 3
Density functional theory data (PBE) for a geometry-optimized Rb2BRuF6 structure.

a b c (Å): 5.784 5.784 8.901
angles (deg): 90.00 90.00 90.00
Space group I4/mmm (No. 139)
One atom of each set of equivalent atoms:
Rb 0.000 0.500 0.250
B 0.000 0.000 0.000
Ru 0.000 0.000 0.500
F 0.000 0.000 0.155
F 0.232 0.232 0.000

Output
density = 4.43 g/cm3
DOS(E_F) = 0.84 states/eV/f.u.
E_form (uncorrected) = -42.60 kcal/mol of atoms

No. 4
Density functional theory data (PBE) for a geometry-optimized Hf2ScCo structure.

a b c (Å): 4.320 10.656 6.863
angles (deg): 90.00 90.00 90.00
Space group Cmcm (No. 63)
One atom of each set of equivalent atoms:
Hf 0.000 0.147 0.036
Sc 0.000 0.453 0.250
Co 0.000 0.298 0.750

Output
density = 9.69 g/cm3
energy relative to the elements = -0.171 eV/atom
DOS(E_F) = 4.78 states/eV/f.u.
polymorph energy (0 for the lowest one) = 41.2 meV per atom

No. 5
Density functional theory data (PBE) for a geometry-optimized LiGeSbTe3 structure.

a b c (Å): 4.2958 4.2958 10.6652
angles (deg): 90.00 90.00 120.00
Space group P3m1 (No. 156)
One atom of each set of equivalent atoms:
Li 0.0000 0.0000 0.0000
Ge 0.3333 0.6667 0.6885
Sb 0.6667 0.3333 0.3332
Te 0.0000 0.0000 0.5039
Te 0.3333 0.6667 0.1581
Te 0.6667 0.3333 0.8319

Output
density = 5.69 g/cm3
E_form (uncorrected) = -7.30 kcal/mol of atoms

No. 6
Density functional theory data (PBE) for a geometry-optimized MnZn2Pt structure.

a b c (Å): 5.339 8.824 2.752
angles (deg): 90.00 114.67 90.00
Space group C2/m (No. 12)
One atom of each set of equivalent atoms:
Mn 0.000 0.000 0.000
Zn 0.250 0.250 0.500
Pt 0.000 0.500 0.000

Output
density = 10.73 g/cm3
energy relative to the elements = -0.167 eV/atom
DOS(E_F) = 2.10 states/eV/f.u.